The following is a DFT calculation (GGA-PBE) of a relaxed Re2TcIr crystal.

Geometry as POSCAR:
```
Re2TcIr
1.0
4.761 -0.002 0.000
1.581 4.491 0.000
-3.171 -2.244 2.753
Tc Ir Re
1 1 2
Direct
0.500 0.500 0.000
0.750 0.250 0.500
0.000 0.000 0.000
0.250 0.750 0.500
```

Properties
E	-11.1171	eV per atom
energy of formation	-0.086	eV/atom
energy relative to the lowest polymorph listed for this composition	0.011	eV per atom

***

The following is a DFT calculation (GGA-PBE) of a relaxed Re2TcIr crystal.

Geometry as POSCAR:
```
Re2TcIr
1.0
4.300 0.000 0.000
0.000 2.739 0.035
0.000 1.304 5.103
Ir Tc Re
1 1 2
Direct
0.500 0.797 0.781
0.000 0.451 0.473
0.000 0.193 0.990
0.500 0.059 0.256
```

Properties
E	-10.9993	eV per atom
energy of formation	0.031	eV/atom
energy relative to the lowest polymorph listed for this composition	0.129	eV per atom

***

The following is a DFT calculation (GGA-PBE) of a relaxed ReTc2Ir2 crystal.

Geometry as POSCAR:
```
ReTc2Ir2
1.0
7.409 0.000 0.000
0.000 7.409 0.000
0.000 0.000 2.765
Ir Tc Re
4 4 2
Direct
0.624 0.124 0.000
0.376 0.876 0.000
0.124 0.376 0.000
0.876 0.624 0.000
0.327 0.173 0.500
0.673 0.827 0.500
0.173 0.673 0.500
0.827 0.327 0.500
0.000 0.000 0.000
0.500 0.500 0.000
```

Properties
E	-10.0185	eV per atom
energy of formation	0.162	eV/atom
energy relative to the lowest polymorph listed for this composition	0.103	eV per atom